Here is an optimized crystal structure of Rb2OsWF6 from Alexandria via LeMat-Bulk. Energies are from PBE+U.

Cell and atoms, written as POSCAR:
```
Rb2OsWF6
1.0
5.932 0.000 0.000
0.000 5.932 0.000
2.966 2.966 5.771
Rb F W Os
2 6 1 1
Direct
0.750 0.250 0.500
0.250 0.750 0.500
0.682 0.682 0.636
0.248 0.248 0.000
0.248 0.752 0.000
0.752 0.248 0.000
0.318 0.318 0.364
0.752 0.752 0.000
0.500 0.500 0.000
0.000 0.000 0.000
```

Magnetic moment, μB/f.u.: 4.01
DOS(E_F), states/eV/cell: 8.6
E_tot, Ry per atom: -0.365
Mass density, g/cm³: 5.39